## GaHPt3 (PBE-GGA)

Data for an optimized crystal structure of GaHPt3.

- crystal system = tetragonal
- total moment (μB per atom) = 0.00

Lattice parameters (Å, degrees): 5.6267 5.6267 4.1046 90.00 90.00 90.00
Closest atoms and distances in Å follow each position.
Positions (direct):
Ga (0.0000, 0.5000, 0.0000)  8 Pt 2.56-2.81
Ga (0.5000, 0.0000, 0.0000)  8 Pt 2.56-2.81
H (0.0000, 0.0000, 0.4450)  5 Pt 1.84-2.05
H (0.5000, 0.5000, 0.4450)  5 Pt 1.84-2.05
Pt (0.0000, 0.0000, 0.9978)  1 H 1.84
Pt (0.1948, 0.3052, 0.5025)  2 H 2.05
Pt (0.3052, 0.8052, 0.5025)  2 H 2.05
Pt (0.5000, 0.5000, 0.9978)  1 H 1.84
Pt (0.6948, 0.1948, 0.5025)  2 H 2.05
Pt (0.8052, 0.6948, 0.5025)  2 H 2.05

=====

## GaHPt3 (PBE-GGA)

Data for an optimized crystal structure of GaHPt3.

- crystal system = tetragonal
- total moment (μB per atom) = 0.00

Lattice parameters (Å, degrees): 5.6381 5.6381 4.0873 90.00 90.00 90.00
Closest atoms and distances in Å follow each position.
Positions (direct):
Ga (0.0000, 0.5000, 0.0000)  8 Pt 2.57-2.82
Ga (0.5000, 0.0000, 0.0000)  8 Pt 2.57-2.82
H (0.0000, 0.0000, 0.5000)  6 Pt 2.04
H (0.5000, 0.5000, 0.5000)  6 Pt 2.04
Pt (0.0000, 0.0000, 0.0000)  2 H 2.04
Pt (0.1965, 0.3035, 0.5000)  2 H 2.04
Pt (0.3035, 0.8035, 0.5000)  2 H 2.04
Pt (0.5000, 0.5000, 0.0000)  2 H 2.04
Pt (0.6965, 0.1965, 0.5000)  2 H 2.04
Pt (0.8035, 0.6965, 0.5000)  2 H 2.04

=====

## Sr2GaH6Pt (PBE-GGA)

Data for an optimized crystal structure of Sr2GaH6Pt.

- crystal system = cubic
- total moment (μB per atom) = 0.00

Lattice parameters (Å, degrees): 5.5836 5.5836 5.5836 60.00 60.00 60.00
Closest atoms and distances in Å follow each position.
Positions (direct):
Sr (0.2500, 0.2500, 0.2500)  12 H 2.80
Sr (0.7500, 0.7500, 0.7500)  12 H 2.80
Ga (0.0000, 0.0000, 0.0000)  6 H 2.16
H (0.2739, 0.2739, 0.7261)  1 Pt 1.79
H (0.2739, 0.7261, 0.2739)  1 Pt 1.79
H (0.2739, 0.7261, 0.7261)  1 Pt 1.79
H (0.7261, 0.2739, 0.2739)  1 Pt 1.79
H (0.7261, 0.2739, 0.7261)  1 Pt 1.79
H (0.7261, 0.7261, 0.2739)  1 Pt 1.79
Pt (0.5000, 0.5000, 0.5000)  6 H 1.79

=====

Number 1: calculated total energy -5.187 eV per atom. Number 2: calculated total energy -5.184 eV per atom. Number 3: calculated total energy -3.615 eV per atom.